! ZrReTc2C (GGA-PBE, relaxed); values from VASP
! Total magnetization (μB/cell): 0.00
! Formation energy (eV/atom): -0.111
! Raw total energy (eV per atom): -10.302
! Symmetry: P4/mmm
&SYSTEM
  ibrav = 0, nat = 5, ntyp = 4
/
ATOMIC_SPECIES
Zr 91.22 Zr.upf
Re 186.21 Re.upf
Tc 98.00 Tc.upf
C 12.01 C.upf
CELL_PARAMETERS angstrom
4.1686 0.0000 0.0000
0.0000 4.1686 0.0000
0.0000 0.0000 4.1435
ATOMIC_POSITIONS angstrom
Zr 0.0000 0.0000 0.0000
Re 2.0843 2.0843 0.0000
Tc 0.0000 2.0843 2.0717
Tc 2.0843 0.0000 2.0717
C 2.0843 2.0843 2.0717